The following is a GGA-PBE calculation of an optimized crystal structure of Nd2Y2CI3Br2, from the Open Quantum Materials Database.

The total magnetization comes out at 0.47 Bohr magnetons per cell. For the calculated density, the calculation gives 5.5 g/cm3. The value obtained for the energy above the most stable polymorph in this dataset is 0.15 eV/f.u.

abc: 18.505 3.977 8.610
angles: 90.00 103.08 90.00
Space group C2/m (No. 12)
Symmetry-distinct sites (fractional):
Nd 0.139 0.000 0.066 (multiplicity 4)
Y 0.001 0.500 0.810 (multiplicity 4)
C 0.000 0.000 0.000 (multiplicity 2)
I 0.000 0.000 0.500 (multiplicity 2)
I 0.167 0.500 0.354 (multiplicity 4)
Br 0.164 0.500 0.821 (multiplicity 4)